1.
Entry from Alexandria: a PBEsol-optimized structure of SbC (SCAN).

**Crystal system**: orthorhombic
**Energy relative to the lowest polymorph listed for this composition**: 42.3 meV per atom
**Magnetic moment**: 0.000 Bohr magnetons per cell
**ΔE_f (raw)**: 1563 meV/atom
**SG**: Cmcm

abc: 3.3026 3.3156 5.8341
angles: 73.49 90.00 90.00
Sites, in units of the cell vectors:
Sb  0.7500  0.6368  0.7263
Sb  0.2500  0.3632  0.2737
C  0.7500  0.8361  0.3277
C  0.2500  0.1639  0.6723

=====

2.
Entry from Alexandria: a PBEsol-optimized structure of Sb3C (SCAN).

**Crystal system**: hexagonal
**Magnetic moment**: 0.000 Bohr magnetons per cell
**ΔE_f (raw)**: 1075 meV/atom
**SG**: P6_3/mmc

abc: 3.2493 8.1187 8.1187
angles: 120.00 90.00 90.00
Sites, in units of the cell vectors:
Sb  0.7500  0.2037  0.7963
Sb  0.7500  0.5926  0.7963
Sb  0.7500  0.2037  0.4074
Sb  0.2500  0.7963  0.2037
Sb  0.2500  0.4074  0.2037
Sb  0.2500  0.7963  0.5926
C  0.7500  0.6667  0.3333
C  0.2500  0.3333  0.6667

=====

3.
Entry from Alexandria: a PBEsol-optimized structure of Sb2C3 (SCAN).

**Crystal system**: orthorhombic
**Magnetic moment**: 0.000 Bohr magnetons per cell
**ΔE_f (raw)**: 1345 meV/atom
**SG**: Fdd2

abc: 5.3206 5.3206 6.1142
angles: 115.98 115.98 89.62
Sites, in units of the cell vectors:
Sb  0.3472  0.2054  0.0305
Sb  0.7946  0.6528  0.9695
Sb  0.0666  0.4249  0.4695
Sb  0.5751  0.9334  0.5305
C  0.0236  0.9017  0.5790
C  0.0983  0.9764  0.4210
C  0.1946  0.5727  0.9210
C  0.4273  0.8054  0.0790
C  0.7364  0.2636  0.0000
C  0.4864  0.5136  0.5000

=====

4.
Entry from Alexandria: a PBEsol-optimized structure of SbC2 (SCAN).

**Crystal system**: hexagonal
**Energy relative to the lowest polymorph listed for this composition**: 0.0 meV per atom
**Magnetic moment**: 0.000 Bohr magnetons per cell
**ΔE_f (raw)**: 995 meV/atom
**SG**: P6_3/mmc

abc: 2.6934 2.6934 15.4797
angles: 90.00 90.00 120.00
Sites, in units of the cell vectors:
Sb  0.3333  0.6667  0.2500
Sb  0.6667  0.3333  0.7500
C  0.3333  0.6667  0.4999
C  0.6667  0.3333  0.9999
C  0.6667  0.3333  0.5001
C  0.3333  0.6667  0.0001

=====

- What is the ΔE_f (raw) in the third record?
  1345 meV/atom

=====

Copy entry 4 word for word.
Entry from Alexandria: a PBEsol-optimized structure of SbC2 (SCAN).

**Crystal system**: hexagonal
**Energy relative to the lowest polymorph listed for this composition**: 0.0 meV per atom
**Magnetic moment**: 0.000 Bohr magnetons per cell
**ΔE_f (raw)**: 995 meV/atom
**SG**: P6_3/mmc

abc: 2.6934 2.6934 15.4797
angles: 90.00 90.00 120.00
Sites, in units of the cell vectors:
Sb  0.3333  0.6667  0.2500
Sb  0.6667  0.3333  0.7500
C  0.3333  0.6667  0.4999
C  0.6667  0.3333  0.9999
C  0.6667  0.3333  0.5001
C  0.3333  0.6667  0.0001

=====

- What is the ΔE_f (raw) in the second record?
  1075 meV/atom

=====

- Among the records above, which one has the lowest ΔE_f (raw)?
  SbC2